DFT (PBE) results for a relaxed structure of ZnSb2P.

Output
Raw total energy in eV for the cell shown: -28.349
Magnetic moment in μB per cell: 0.00
Space-group type: I-42d (122)
Raw formation energy in meV per atom: 188

Unit cell a=7.6450 b=7.6450 c=7.6450 alpha=133.27 beta=133.27 gamma=68.22
Fractional positions:
Zn 0.0000 0.0000 0.0000
Zn 0.7500 0.2500 0.5000
Sb 0.1240 0.6250 0.9990
Sb 0.3750 0.3740 0.4990
Sb 0.6260 0.1250 0.0010
Sb 0.8750 0.8760 0.5010
P 0.2500 0.7500 0.5000
P 0.5000 0.5000 0.0000

***

DFT (PBE) results for a relaxed structure of Li5ZnAg2Hg2.

Output
Raw total energy in eV for the cell shown: -37.351
Magnetic moment in μB per cell: 0.00
Energy of formation from the pure elements in meV/atom: -153
Space-group type: P4/mbm (127)

Unit cell a=10.1539 b=10.1539 c=3.5046 alpha=90.00 beta=90.00 gamma=90.00
Fractional positions:
Li 0.0000 0.5000 0.0000
Li 0.1295 0.1575 0.0000
Li 0.1575 0.8705 0.0000
Li 0.3425 0.3705 0.0000
Li 0.3705 0.6575 0.0000
Li 0.5000 0.0000 0.0000
Li 0.6295 0.3425 0.0000
Li 0.6575 0.6295 0.0000
Li 0.8425 0.1295 0.0000
Li 0.8705 0.8425 0.0000
Zn 0.0000 0.0000 0.5000
Zn 0.5000 0.5000 0.5000
Ag 0.1406 0.3594 0.5000
Ag 0.3594 0.8594 0.5000
Ag 0.6406 0.1406 0.5000
Ag 0.8594 0.6406 0.5000
Hg 0.1528 0.6528 0.5000
Hg 0.3472 0.1528 0.5000
Hg 0.6528 0.8472 0.5000
Hg 0.8472 0.3472 0.5000

***

DFT (PBE) results for a relaxed structure of PmBe2Ge2.

Output
Raw total energy in eV for the cell shown: -46.298
Magnetic moment in μB per cell: 0.00
Energy of formation from the pure elements in meV/atom: -342
Space-group type: P4/nmm (129)

Unit cell a=4.1162 b=4.1162 c=9.5557 alpha=90.00 beta=90.00 gamma=90.00
Fractional positions:
Pm 0.2500 0.2500 0.2494
Pm 0.7500 0.7500 0.7506
Be 0.2500 0.2500 0.8725
Be 0.2500 0.7500 0.5000
Be 0.7500 0.2500 0.5000
Be 0.7500 0.7500 0.1275
Ge 0.2500 0.2500 0.6301
Ge 0.2500 0.7500 0.0000
Ge 0.7500 0.2500 0.0000
Ge 0.7500 0.7500 0.3699

***

DFT (PBE) results for a relaxed structure of K2Na6Sn.

Output
Raw total energy in eV for the cell shown: -14.473
Magnetic moment in μB per cell: 0.00
Energy of formation from the pure elements in meV/atom: -40
Space-group type: C2/m (12)

Unit cell a=7.1083 b=7.1083 c=8.3750 alpha=100.79 beta=100.79 gamma=60.17
Fractional positions:
K 0.1534 0.1534 0.3988
K 0.8466 0.8466 0.6012
Na 0.1276 0.6195 0.1708
Na 0.3794 0.3794 0.8015
Na 0.3805 0.8724 0.8292
Na 0.6195 0.1276 0.1708
Na 0.6206 0.6206 0.1985
Na 0.8724 0.3805 0.8292
Sn 0.5000 0.5000 0.5000